This record from Alexandria describes a geometry-optimized BaNaAu2Cl8 structure. The functional is GGA-PBE.

```
BaNaAu2Cl8
1.0
-3.6099 3.6099 6.4093
3.6099 -3.6099 6.4093
3.6099 3.6099 -6.4093
Ba Na Au Cl
1 1 2 8
Cartesian
0.0000 0.0000 0.0000
0.0000 3.6099 3.2046
3.6099 0.0000 3.2046
0.0000 0.0000 6.4093
2.2145 2.6480 -3.5569
3.0140 1.3520 -0.2578
1.3954 0.9619 2.8524
2.2579 -0.5959 6.6671
4.5718 2.2145 3.5569
1.3520 4.2058 0.2578
0.5959 2.2579 6.1514
-0.9619 1.3954 9.9661
```

Summary:
ΔE_f (raw) in kJ/mol of atoms: -95.1
DOS at the Fermi energy in states/eV/atom: 0.41
VASP energy in eV/cell: -36.395
Space group: I-4, No. 82

This record from Alexandria describes a geometry-optimized YMgSc2O structure. The functional is GGA-PBE.

```
YMgSc2O
1.0
4.5357 0.0000 0.0000
0.0000 4.5357 0.0000
0.0000 0.0000 4.8051
Y Mg Sc O
1 1 2 1
Cartesian
0.0000 0.0000 0.0000
2.2678 2.2678 0.0000
0.0000 2.2678 2.4025
2.2678 0.0000 2.4025
0.0000 0.0000 2.4025
```

Summary:
ΔE_f (raw) in kJ/mol of atoms: -116.5
DOS at the Fermi energy in states/eV/atom: 0.81
VASP energy in eV/cell: -31.715
Space group: P4/mmm, No. 123

This record from Alexandria describes a geometry-optimized LiTh2ScTe5 structure. The functional is GGA-PBE.

```
LiTh2ScTe5
1.0
2.1299 -9.2908 0.0000
2.1299 9.2908 0.0000
0.0000 0.0000 13.0382
Li Th Sc Te
2 4 2 10
Cartesian
2.1299 8.0059 6.5191
2.1299 -8.0059 0.0000
2.1299 2.4184 4.4068
2.1299 1.9880 9.3954
2.1299 -1.9880 2.8763
2.1299 -2.4184 10.9259
2.1299 3.6599 0.6190
2.1299 -3.6599 7.1381
2.1299 9.2731 10.7902
2.1299 6.6422 0.4702
2.1299 5.6999 5.0233
2.1299 5.2470 9.1210
2.1299 0.9177 1.4364
2.1299 -0.9177 7.9555
2.1299 -5.2470 2.6019
2.1299 -5.6999 11.5424
2.1299 -6.6422 6.9894
2.1299 -9.2731 4.2711
```

Summary:
ΔE_f (raw) in kJ/mol of atoms: -106.4
DOS at the Fermi energy in states/eV/atom: 0.67
VASP energy in eV/cell: -97.432
Space group: Cmc2_1, No. 36

This record from Alexandria describes a geometry-optimized LiMn2TlCl8 structure. The functional is GGA-PBE.

```
LiMn2TlCl8
1.0
6.6146 0.0000 0.0000
-3.3073 5.7284 0.0000
0.0000 0.0000 8.8264
Li Mn Tl Cl
1 2 1 8
Cartesian
0.0000 0.0000 0.0000
0.0000 3.8190 2.1138
3.3073 1.9095 6.7127
0.0000 0.0000 4.4132
-0.9181 1.8512 1.5670
-1.2451 5.5979 1.5670
1.1441 1.7207 7.2595
0.0000 3.8190 4.3013
3.3073 1.9095 4.5251
2.1632 4.0078 1.5670
4.5524 0.1305 7.2595
4.2254 3.8772 7.2595
```

Summary:
ΔE_f (raw) in kJ/mol of atoms: -99.0
DOS at the Fermi energy in states/eV/atom: 1.15
VASP energy in eV/cell: -49.707
Space group: P-3, No. 147